Compound: AlCSe2
Source: the Alexandria database
Functional: PBE
Structure: relaxed

abc: 5.0587 5.0587 7.2140
angles: 69.47 69.47 90.00
Fractional coordinates of all 8 atoms:
Se1 0.5814 0.1250 0.2500
C1 0.2500 0.7500 0.5000
C2 0.5000 0.5000 0.0000
Se2 0.1686 0.6250 0.2500
Se3 0.8750 0.8314 0.7500
Al1 0.0000 0.0000 0.0000
Se4 0.3750 0.4186 0.7500
Al2 0.7500 0.2500 0.5000

Values from the calculation:
Energy above the most stable polymorph in this dataset = 0.012 eV/atom
Space group = No. 122
Formation energy from raw total energies = 3.31 eV/f.u.